HgPbNO | PBE | optimized geometry

- E above lowest polymorph: 100.5 kJ/mol of formula units

The structure in CIF format:
```
data_HgPbNO
_chemical_formula_sum 'Hg2 Pb2 N2 O2'
_cell_length_a 4.322
_cell_length_b 4.322
_cell_length_c 7.703
_cell_angle_alpha 90.00
_cell_angle_beta 90.00
_cell_angle_gamma 90.00
_space_group_name_H-M_alt 'P 4/n m m'
_space_group_IT_number 129
loop_
_space_group_symop_operation_xyz
'x,y,z'
'-x,-y,-z'
'-y+1/2,x,z'
'y+1/2,-x,-z'
'-x+1/2,-y+1/2,z'
'x+1/2,y+1/2,-z'
'y,-x+1/2,z'
'-y,x+1/2,-z'
'x+1/2,-y,-z'
'-x+1/2,y,z'
'-y,-x,-z'
'y,x,z'
'-x,y+1/2,-z'
'x,-y+1/2,z'
'y+1/2,x+1/2,-z'
'-y+1/2,-x+1/2,z'
loop_
_atom_site_label
_atom_site_fract_x
_atom_site_fract_y
_atom_site_fract_z
Hg1 0.250 0.750 0.000
Pb1 0.250 0.250 0.367
N1 0.250 0.250 0.897
O1 0.250 0.750 0.500
```